The following is a DFT calculation (PBE-GGA) of a relaxed CdOs2Pt crystal.

Results
The value obtained for the magnetization is 0.00 μB per cell. The value obtained for the formation enthalpy at 0 K is 591 meV per atom. The space group is Cmmm.

Lattice parameters (Å, degrees): 5.0477 5.0477 2.7355 90.00 90.00 114.53
Last column: nearest neighbours and their distance in Å.
Fractional positions:
Cd: 0.0000 0.0000 0.0000  2 Pt 2.73, 2 Cd 2.74, 8 Os 2.87
Os: 0.0000 0.5000 0.5000  4 Os 2.73-2.74, 4 Pt 2.87, 4 Cd 2.87
Os: 0.5000 0.0000 0.5000  4 Os 2.73-2.74, 4 Pt 2.87, 4 Cd 2.87
Pt: 0.5000 0.5000 0.0000  2 Cd 2.73, 2 Pt 2.74, 8 Os 2.87